Compound: Ni2MoRu
Source: the Alexandria database
Functional: GGA-PBEsol
Structure: relaxed

Output
Energy = -34.12 eV/cell
Magnetization = 0.0 μB/cell
Energy relative to the elements = 0.033 eV/atom

Structure (CIF):
```
data_Ni2MoRu
_cell_length_a 2.616
_cell_length_b 3.650
_cell_length_c 5.192
_cell_angle_alpha 90.00
_cell_angle_beta 90.00
_cell_angle_gamma 90.00
_symmetry_space_group_name_H-M 'P m m 2'
_symmetry_Int_Tables_number 25
loop_
_symmetry_equiv_pos_as_xyz
'x,y,z'
'-x,-y,z'
'-x,y,z'
'x,-y,z'
loop_
_atom_site_label
_atom_site_type_symbol
_atom_site_fract_x
_atom_site_fract_y
_atom_site_fract_z
_atom_site_occupancy
Ni1 Ni 0.000 0.000 0.000 1
Ni2 Ni 0.500 0.500 0.225 1
Mo1 Mo 0.500 0.500 0.746 1
Ru1 Ru 0.000 0.000 0.476 1
```

=====

Compound: NiSb2Mo
Source: the Alexandria database
Functional: GGA-PBEsol
Structure: relaxed

Output
Energy = -102.84 eV/cell
E_form (uncorrected) = 0.332 eV/atom
Magnetization = 4.4 μB/cell

Structure (CIF):
```
data_NiSb2Mo
_cell_length_a 6.535
_cell_length_b 6.535
_cell_length_c 6.535
_cell_angle_alpha 90.00
_cell_angle_beta 90.00
_cell_angle_gamma 90.00
_symmetry_space_group_name_H-M 'F m -3 m'
_symmetry_Int_Tables_number 225
_symmetry_space_group_name_Hall '-F 4 2 3'
loop_
_atom_site_label
_atom_site_type_symbol
_atom_site_fract_x
_atom_site_fract_y
_atom_site_fract_z
_atom_site_occupancy
Ni1 Ni 0.000 0.000 0.000 1
Sb1 Sb 0.250 0.250 0.250 1
Mo1 Mo 0.000 0.000 0.500 1
```

=====

Compound: Ni2SbMo
Source: the Alexandria database
Functional: GGA-PBEsol
Structure: relaxed

Output
Energy = -28.05 eV/cell
E_form (uncorrected) = 0.148 eV/atom
Magnetization = 0.0 μB/cell

Structure (CIF):
```
data_Ni2SbMo
_cell_length_a 3.109
_cell_length_b 3.109
_cell_length_c 5.807
_cell_angle_alpha 90.00
_cell_angle_beta 90.00
_cell_angle_gamma 90.00
_symmetry_space_group_name_H-M 'P 4 m m'
_symmetry_Int_Tables_number 99
loop_
_symmetry_equiv_pos_as_xyz
'x,y,z'
'-y,x,z'
'-x,-y,z'
'y,-x,z'
'-x,y,z'
'y,x,z'
'x,-y,z'
'-y,-x,z'
loop_
_atom_site_label
_atom_site_type_symbol
_atom_site_fract_x
_atom_site_fract_y
_atom_site_fract_z
_atom_site_occupancy
Ni1 Ni 0.000 0.000 0.000 1
Ni2 Ni 0.500 0.500 0.213 1
Sb1 Sb 0.000 0.000 0.454 1
Mo1 Mo 0.500 0.500 0.768 1
```